Entry 1:
A relaxed Na2As2Pd3 crystal. Source: OQMD, functional PBE-GGA.

The structure in POSCAR format:
```
Na2As2Pd3
1.0
2.251 1.300 7.445
-2.251 1.300 7.445
0.000 -2.599 7.445
Na As Pd
2 2 3
Cartesian
0.000 0.000 0.000
0.000 0.000 10.472
0.000 0.000 5.163
0.000 0.000 16.053
0.000 0.000 7.656
0.000 0.000 13.447
0.000 0.000 19.523
```

Values from the calculation:
space-group type: R3m

=====

Entry 2:
A relaxed Na4As2PdPt crystal. Source: OQMD, functional PBE-GGA.

The structure in POSCAR format:
```
Na4As2PdPt
1.0
3.452 -4.421 0.000
3.452 4.421 0.000
-0.011 0.000 5.561
Na As Pd Pt
4 2 1 1
Cartesian
2.355 2.828 4.180
4.537 2.828 1.380
2.355 -2.828 4.180
4.537 -2.828 1.380
1.430 0.000 4.201
5.462 0.000 1.360
3.446 0.000 2.780
3.452 0.000 0.000
```

Values from the calculation:
space-group type: C2/m
offset from the most stable computed form: 0.000 eV/atom

=====

Entry 3:
A relaxed Na4As2PdPt crystal. Source: OQMD, functional PBE-GGA.

The structure in POSCAR format:
```
Na4As2PdPt
1.0
4.646 0.000 0.000
0.000 4.646 0.000
0.000 0.000 6.565
Na As Pd Pt
4 2 1 1
Cartesian
0.000 0.000 0.000
0.000 2.323 1.618
2.323 0.000 4.947
2.323 2.323 3.283
0.000 2.323 4.877
2.323 0.000 1.689
2.323 2.323 0.000
0.000 0.000 3.283
```

Values from the calculation:
space-group type: P-4m2
offset from the most stable computed form: 0.200 eV/atom

=====

Entry 4:
A relaxed NaAsPdS4 crystal. Source: OQMD, functional PBE-GGA.

The structure in POSCAR format:
```
NaAsPdS4
1.0
-3.689 3.689 6.355
3.689 -3.689 6.355
3.689 3.689 -6.355
Na As Pd S
2 2 2 8
Cartesian
0.000 0.000 3.177
0.000 0.000 9.532
3.689 0.000 3.177
0.000 3.689 3.177
3.689 0.000 0.000
0.000 3.689 0.000
4.844 1.155 -1.705
1.155 2.533 -1.705
4.844 1.155 1.705
1.155 2.533 1.705
2.533 1.155 4.650
-1.155 2.533 4.650
2.533 1.155 8.059
-1.155 2.533 8.059
```

Values from the calculation:
space-group type: I4/mcm

=====

Entry 5:
A relaxed NaSrAsPd crystal. Source: OQMD, functional PBE-GGA.

The structure in POSCAR format:
```
NaSrAsPd
1.0
0.000 3.613 3.613
3.613 0.000 3.613
3.613 3.613 0.000
Na Sr As Pd
1 1 1 1
Cartesian
0.000 0.000 0.000
3.613 3.613 3.613
5.420 5.420 5.420
1.807 1.807 1.807
```

Values from the calculation:
space-group type: F-43m
offset from the most stable computed form: 0.084 eV/atom

=====

Entry 6:
A relaxed NaSrAsPd crystal. Source: OQMD, functional PBE-GGA.

The structure in POSCAR format:
```
NaSrAsPd
1.0
0.000 3.481 3.481
3.481 0.000 3.481
3.481 3.481 0.000
Na Sr As Pd
1 1 1 1
Cartesian
0.000 0.000 0.000
5.222 5.222 5.222
1.741 1.741 1.741
3.481 3.481 3.481
```

Values from the calculation:
space-group type: F-43m
offset from the most stable computed form: 0.000 eV/atom

=====

Entry 7:
A relaxed NaSrAsPd crystal. Source: OQMD, functional PBE-GGA.

The structure in POSCAR format:
```
NaSrAsPd
1.0
0.000 3.498 3.498
3.498 0.000 3.498
3.498 3.498 0.000
Na Sr As Pd
1 1 1 1
Cartesian
0.000 0.000 0.000
5.246 5.246 5.246
3.498 3.498 3.498
1.749 1.749 1.749
```

Values from the calculation:
space-group type: F-43m
offset from the most stable computed form: 0.010 eV/atom

=====

Entry 8:
A relaxed NaZnAsPd crystal. Source: OQMD, functional PBE-GGA.

The structure in POSCAR format:
```
NaZnAsPd
1.0
0.000 3.251 3.251
3.251 0.000 3.251
3.251 3.251 0.000
Na Zn As Pd
1 1 1 1
Cartesian
0.000 0.000 0.000
3.251 3.251 3.251
4.876 4.876 4.876
1.625 1.625 1.625
```

Values from the calculation:
space-group type: F-43m
offset from the most stable computed form: 0.087 eV/atom

=====

Entry 9:
A relaxed NaZnAsPd crystal. Source: OQMD, functional PBE-GGA.

The structure in POSCAR format:
```
NaZnAsPd
1.0
0.000 3.241 3.241
3.241 0.000 3.241
3.241 3.241 0.000
Na Zn As Pd
1 1 1 1
Cartesian
0.000 0.000 0.000
4.861 4.861 4.861
3.241 3.241 3.241
1.620 1.620 1.620
```

Values from the calculation:
space-group type: F-43m
offset from the most stable computed form: 0.081 eV/atom

=====

Entry 10:
A relaxed NaZnAsPd crystal. Source: OQMD, functional PBE-GGA.

The structure in POSCAR format:
```
NaZnAsPd
1.0
0.000 3.221 3.221
3.221 0.000 3.221
3.221 3.221 0.000
Na Zn As Pd
1 1 1 1
Cartesian
0.000 0.000 0.000
4.831 4.831 4.831
1.610 1.610 1.610
3.221 3.221 3.221
```

Values from the calculation:
space-group type: F-43m
offset from the most stable computed form: 0.000 eV/atom

=====

Entry 11:
A relaxed NaPrAsSe3 crystal. Source: OQMD, functional PBE-GGA.

The structure in POSCAR format:
```
NaPrAsSe3
1.0
2.179 -7.387 0.000
2.179 7.387 0.000
0.000 0.000 10.182
Na Pr As Se
2 2 2 6
Cartesian
2.179 3.708 7.637
2.179 -3.708 2.546
0.000 0.000 0.000
0.000 0.000 5.091
2.179 0.609 2.546
2.179 -0.609 7.637
2.179 5.655 2.546
2.179 2.072 0.567
2.179 2.072 4.524
2.179 -2.072 5.659
2.179 -2.072 9.615
2.179 -5.655 7.637
```

Values from the calculation:
space-group type: Cmcm

=====

Entry 12:
A relaxed NaAsPt crystal. Source: OQMD, functional PBE-GGA.

The structure in POSCAR format:
```
NaAsPt
1.0
0.000 3.096 3.096
3.096 0.000 3.096
3.096 3.096 0.000
Na As Pt
1 1 1
Cartesian
0.000 0.000 0.000
3.096 3.096 3.096
4.644 4.644 4.644
```

Values from the calculation:
space-group type: F-43m

=====

Entry 13:
A relaxed NaAsPt crystal. Source: OQMD, functional PBE-GGA.

The structure in POSCAR format:
```
NaAsPt
1.0
0.000 3.087 3.087
3.087 0.000 3.087
3.087 3.087 0.000
Na As Pt
1 1 1
Cartesian
0.000 0.000 0.000
4.631 4.631 4.631
1.544 1.544 1.544
```

Values from the calculation:
space-group type: F-43m

=====

Entry 14:
A relaxed Na2As2Pt3 crystal. Source: OQMD, functional PBE-GGA.

The structure in POSCAR format:
```
Na2As2Pt3
1.0
2.268 1.310 7.576
-2.268 1.310 7.576
0.000 -2.619 7.576
Na As Pt
2 2 3
Cartesian
0.000 0.000 0.000
0.000 0.000 10.527
0.000 0.000 5.085
0.000 0.000 16.077
0.000 0.000 7.598
0.000 0.000 13.570
0.000 0.000 19.892
```

Values from the calculation:
space-group type: R3m

=====

Entry 15:
A relaxed Na3As2Pt3 crystal. Source: OQMD, functional PBE-GGA.

The structure in POSCAR format:
```
Na3As2Pt3
1.0
2.758 1.593 6.271
-2.758 1.593 6.271
0.000 -3.185 6.271
Na As Pt
3 2 3
Cartesian
0.000 0.000 0.000
0.000 0.000 7.922
0.000 0.000 10.891
0.000 0.000 5.043
0.000 0.000 13.770
-2.758 0.000 9.407
-1.379 0.796 3.136
1.379 0.796 3.136
```

Values from the calculation:
space-group type: R-3m

=====

Entry 16:
A relaxed NaSrAsPt crystal. Source: OQMD, functional PBE-GGA.

The structure in POSCAR format:
```
NaSrAsPt
1.0
0.000 3.474 3.474
3.474 0.000 3.474
3.474 3.474 0.000
Na Sr As Pt
1 1 1 1
Cartesian
0.000 0.000 0.000
5.210 5.210 5.210
3.474 3.474 3.474
1.737 1.737 1.737
```

Values from the calculation:
space-group type: F-43m
offset from the most stable computed form: 0.022 eV/atom

=====

Entry 17:
A relaxed NaSrAsPt crystal. Source: OQMD, functional PBE-GGA.

The structure in POSCAR format:
```
NaSrAsPt
1.0
0.000 3.481 3.481
3.481 0.000 3.481
3.481 3.481 0.000
Na Sr As Pt
1 1 1 1
Cartesian
0.000 0.000 0.000
5.221 5.221 5.221
1.740 1.740 1.740
3.481 3.481 3.481
```

Values from the calculation:
space-group type: F-43m
offset from the most stable computed form: 0.000 eV/atom

=====

Entry 18:
A relaxed NaSrAsPt crystal. Source: OQMD, functional PBE-GGA.

The structure in POSCAR format:
```
NaSrAsPt
1.0
0.000 3.595 3.595
3.595 0.000 3.595
3.595 3.595 0.000
Na Sr As Pt
1 1 1 1
Cartesian
0.000 0.000 0.000
3.595 3.595 3.595
5.393 5.393 5.393
1.798 1.798 1.798
```

Values from the calculation:
space-group type: F-43m
offset from the most stable computed form: 0.099 eV/atom

=====

Entry 19:
A relaxed NaRe3As5 crystal. Source: OQMD, functional PBE-GGA.

The structure in POSCAR format:
```
NaRe3As5
1.0
5.387 0.000 0.000
-2.694 4.666 0.000
0.000 0.000 7.839
Na Re As
1 3 5
Cartesian
0.000 0.000 0.000
-1.347 2.333 3.919
2.694 0.000 3.919
1.347 2.333 3.919
0.000 0.000 3.919
0.000 3.110 1.813
0.000 3.110 6.026
2.694 1.555 1.813
2.694 1.555 6.026
```

Values from the calculation:
space-group type: P6/mmm

=====

Entry 20:
A relaxed NaReSbAs crystal. Source: OQMD, functional PBE-GGA.

The structure in POSCAR format:
```
NaReSbAs
1.0
0.000 3.363 3.363
3.363 0.000 3.363
3.363 3.363 0.000
Na Re Sb As
1 1 1 1
Cartesian
0.000 0.000 0.000
1.682 1.682 1.682
3.363 3.363 3.363
5.045 5.045 5.045
```

Values from the calculation:
space-group type: F-43m
offset from the most stable computed form: 0.501 eV/atom

=====

For the records above, the corresponding VASP energy values read -4.210; -3.680; -3.480; -4.363; -3.626; -3.710; -3.700; -3.220; -3.226; -3.307; -4.421; -4.168; -3.546; -4.505; -4.392; -3.862; -3.884; -3.784; -6.607; -4.781 eV per atom.